# KZr6O12, optimized geometry, DFT GGA-PBE
# final energy = -167.03 eV per cell
# uncorrected formation energy = -55.14 eV/f.u.
data_KZr6O12
_chemical_formula_sum 'K1 Zr6 O12'
_symmetry_space_group_name_H-M 'P 1'
_symmetry_Int_Tables_number 1
_cell_length_a 6.545
_cell_length_b 6.545
_cell_length_c 6.545
_cell_angle_alpha 104.56
_cell_angle_beta 104.56
_cell_angle_gamma 104.56
loop_
_symmetry_equiv_pos_as_xyz
'x,y,z'
loop_
_atom_site_label
_atom_site_type_symbol
_atom_site_fract_x
_atom_site_fract_y
_atom_site_fract_z
_atom_site_occupancy
Zr1 Zr 0.763 0.763 0.374 1
Zr2 Zr 0.237 0.237 0.626 1
Zr3 Zr 0.763 0.374 0.763 1
Zr4 Zr 0.237 0.626 0.237 1
Zr5 Zr 0.374 0.763 0.763 1
Zr6 Zr 0.626 0.237 0.237 1
O1 O 0.458 0.458 0.187 1
O2 O 0.873 0.500 0.127 1
O3 O 0.542 0.542 0.813 1
O4 O 0.873 0.127 0.500 1
O5 O 0.458 0.187 0.458 1
O6 O 0.187 0.458 0.458 1
O7 O 0.813 0.542 0.542 1
O8 O 0.542 0.813 0.542 1
O9 O 0.127 0.500 0.873 1
O10 O 0.127 0.873 0.500 1
O11 O 0.500 0.873 0.127 1
O12 O 0.500 0.127 0.873 1
K1 K 0.000 0.000 0.000 1